Entry 1:
VASP calculation (PBE) on Nd4CuPd after structural relaxation.

abc: 7.0629 7.1538 7.2196
angles: 90.00 89.92 90.00
Positions (direct):
Nd: 0.8494 0.6542 0.1573
Nd: 0.6506 0.1542 0.8427
Nd: 0.3359 0.3410 0.3377
Nd: 0.1641 0.8410 0.6623
Nd: 0.1506 0.3458 0.8427
Nd: 0.3494 0.8458 0.1573
Nd: 0.6641 0.6590 0.6623
Nd: 0.8359 0.1590 0.3377
Cu: 0.5000 0.0000 0.5000
Cu: 0.0000 0.5000 0.5000
Pd: 0.0000 0.0000 0.0000
Pd: 0.5000 0.5000 0.0000

Properties
* space-group type: P2_1/c (14)
* DOS at the Fermi energy: 16.90 states/eV per cell
* energy relative to the elements: -0.1749 eV per atom

=====

Entry 2:
VASP calculation (PBE) on Nd3Cu3Pd2 after structural relaxation.

abc: 5.5681 7.6459 16.0441
angles: 90.00 90.00 90.00
Positions (direct):
Nd: 0.1300 0.4626 0.3970
Nd: 0.6300 0.0374 0.6030
Nd: 0.8700 0.5374 0.8970
Nd: 0.3700 0.9626 0.1030
Nd: 0.8700 0.5374 0.6030
Nd: 0.3700 0.9626 0.3970
Nd: 0.1300 0.4626 0.1030
Nd: 0.6300 0.0374 0.8970
Nd: 0.6286 0.3294 0.2500
Nd: 0.1286 0.1706 0.7500
Nd: 0.3714 0.6706 0.7500
Nd: 0.8714 0.8294 0.2500
Cu: 0.1312 0.1849 0.2500
Cu: 0.6312 0.3151 0.7500
Cu: 0.8688 0.8151 0.7500
Cu: 0.3688 0.6849 0.2500
Cu: 0.5910 0.3214 0.4702
Cu: 0.0910 0.1786 0.5298
Cu: 0.4090 0.6786 0.9702
Cu: 0.9090 0.8214 0.0298
Cu: 0.4090 0.6786 0.5298
Cu: 0.9090 0.8214 0.4702
Cu: 0.5910 0.3214 0.0298
Cu: 0.0910 0.1786 0.9702
Pd: 0.8668 0.1146 0.3861
Pd: 0.3668 0.3854 0.6139
Pd: 0.1332 0.8854 0.8861
Pd: 0.6332 0.6146 0.1139
Pd: 0.1332 0.8854 0.6139
Pd: 0.6332 0.6146 0.3861
Pd: 0.8668 0.1146 0.1139
Pd: 0.3668 0.3854 0.8861

Properties
* space-group type: Pnma (62)
* DOS at the Fermi energy: 21.07 states/eV per cell
* energy relative to the elements: -0.4384 eV per atom

=====

Entry 3:
VASP calculation (PBE) on Nd5Cu2Pd5 after structural relaxation.

abc: 4.1352 7.9922 8.8657
angles: 90.22 76.51 75.01
Positions (direct):
Nd: 0.0000 0.5000 0.5000
Nd: 0.6839 0.7131 0.9190
Nd: 0.3773 0.9198 0.3256
Nd: 0.6227 0.0802 0.6744
Nd: 0.3161 0.2869 0.0810
Cu: 0.3812 0.4797 0.7579
Cu: 0.6188 0.5203 0.2421
Pd: 0.7194 0.2110 0.3501
Pd: 0.9318 0.3065 0.8298
Pd: 0.0682 0.6935 0.1702
Pd: 0.2806 0.7890 0.6499
Pd: 0.0000 0.0000 0.0000

Properties
* space-group type: C2/m (12)
* DOS at the Fermi energy: 7.71 states/eV per cell
* energy relative to the elements: -0.6361 eV per atom

=====

Entry 4:
VASP calculation (PBE) on Nd3Cu3Pd2 after structural relaxation.

abc: 4.2333 5.7069 15.4731
angles: 90.00 90.00 111.77
Positions (direct):
Nd: 0.8926 0.7852 0.4050
Nd: 0.1074 0.2148 0.9050
Nd: 0.8926 0.7852 0.0950
Nd: 0.1074 0.2148 0.5950
Nd: 0.6217 0.2434 0.2500
Nd: 0.3783 0.7566 0.7500
Cu: 0.5973 0.1946 0.4565
Cu: 0.4027 0.8054 0.9565
Cu: 0.5973 0.1946 0.0435
Cu: 0.4027 0.8054 0.5435
Cu: 0.3383 0.6767 0.2500
Cu: 0.6617 0.3233 0.7500
Pd: 0.8079 0.6158 0.8874
Pd: 0.1921 0.3842 0.3874
Pd: 0.8079 0.6158 0.6126
Pd: 0.1921 0.3842 0.1126

Properties
* space-group type: Cmcm (63)
* DOS at the Fermi energy: 12.20 states/eV per cell
* energy relative to the elements: -0.4601 eV per atom

=====

Entry 5:
VASP calculation (PBE) on NdCu6Pd after structural relaxation.

abc: 4.9537 4.9537 4.9537
angles: 90.00 90.00 90.00
Positions (direct):
Nd: 0.0000 0.0000 0.0000
Cu: 0.5000 0.7376 0.0000
Cu: 0.7376 0.0000 0.5000
Cu: 0.0000 0.5000 0.2624
Cu: 0.2624 0.0000 0.5000
Cu: 0.5000 0.2624 0.0000
Cu: 0.0000 0.5000 0.7376
Pd: 0.5000 0.5000 0.5000

Properties
* space-group type: Pm-3 (200)
* DOS at the Fermi energy: 2.47 states/eV per cell
* energy relative to the elements: 0.0692 eV per atom

=====

Entry 6:
VASP calculation (PBE) on Nd3CuPd after structural relaxation.

abc: 3.9971 8.3033 8.3360
angles: 85.76 89.99 103.89
Positions (direct):
Nd: 0.0811 0.1958 0.3978
Nd: 0.4243 0.8816 0.6444
Nd: 0.6201 0.2728 0.7765
Nd: 0.9622 0.9582 0.0233
Nd: 0.2506 0.5341 0.0332
Nd: 0.7930 0.6195 0.3889
Cu: 0.2388 0.5099 0.6516
Cu: 0.8069 0.6449 0.7711
Pd: 0.4333 0.9011 0.2846
Pd: 0.6095 0.2525 0.1363

Properties
* space-group type: Cm (8)
* DOS at the Fermi energy: 12.15 states/eV per cell
* energy relative to the elements: -0.3350 eV per atom

=====

The lowest DOS at the Fermi energy belongs to which entry? NdCu6Pd

=====

Among the records above, which one has the lowest energy relative to the elements? Nd5Cu2Pd5

=====

energy relative to the elements of number 2 (Nd3Cu3Pd2)? -0.4384 eV per atom

=====

Among the records above, which one has the lowest DOS at the Fermi energy? NdCu6Pd